A plane-wave DFT calculation with PBEsol was carried out for Ca2CrHg after structural relaxation.

Cell: 4.674 4.674 5.547 Å, 114.92 114.92 90.00°
Sites, in units of the cell vectors:
Cr (0.500, 0.500, 0.000)
Ca (0.000, 0.000, 0.000)
Ca (0.750, 0.250, 0.500)
Hg (0.250, 0.750, 0.500)

formation energy	0.20	eV/atom
ρ	5.68	g/cm³
total energy	-14.28	eV/cell



A plane-wave DFT calculation with PBEsol was carried out for ZnSnBr2 after structural relaxation.

Cell: 5.206 5.206 5.206 Å, 60.00 60.00 60.00°
Sites, in units of the cell vectors:
Zn (0.000, 0.000, 0.000)
Sn (0.500, 0.500, 0.500)
Br (0.250, 0.250, 0.250)
Br (0.750, 0.750, 0.750)

ΔE to the lowest computed polymorph	23	meV/atom
energy relative to the elements, uncorrected	-0.163	eV per atom
ρ	5.72	g/cm³
total energy	-10.23	eV/cell



A plane-wave DFT calculation with PBEsol was carried out for LiTa5 after structural relaxation.

Cell: 5.406 5.406 5.406 Å, 60.00 60.00 60.00°
Sites, in units of the cell vectors:
Li (0.000, 0.000, 0.000)
Ta (0.250, 0.250, 0.250)
Ta (0.623, 0.131, 0.623)
Ta (0.623, 0.623, 0.131)
Ta (0.623, 0.623, 0.623)
Ta (0.131, 0.623, 0.623)

formation energy	0.56	eV/atom
ΔE to the lowest computed polymorph	225	meV/atom
ρ	13.55	g/cm³
total energy	-61.34	eV/cell



| no. | total magnetic moment (μB/f.u.) | D(E_F) (states/eV/atom) | calculated volume (Å³/atom) |
| --- | --- | --- | --- |
| 1 | 4.73 | 0.578 | 24.34 |
| 2 | 0.00 | 0.370 | 24.94 |
| 3 | 0.00 | 0.929 | 18.62 |